Computed, not measured: a geometry-optimized K4V5CuClO15 structure at the PBE+U level of DFT.

DOS at the Fermi energy (states/eV/cell): 1.9
Raw total energy (eV for the cell shown): -170.04
Symmetry: No. 75

a b c (Å): 8.9824 8.9824 5.6689
angles (deg): 90.00 90.00 90.00
Last column: magnetic moment on the atom in μB.
Fractional coordinates of all 26 atoms:
K1 0.6898 0.8494 0.4263  0.00
Cu1 0.0000 0.0000 0.8413  0.61
O1 0.8617 0.6252 0.1902  0.01
Cl1 0.0000 0.0000 0.2878  0.01
O2 0.1961 0.9087 0.7918  0.06
O3 0.4143 0.6849 0.7762  0.00
K2 0.1506 0.6898 0.4263  0.00
O4 0.1383 0.3748 0.1902  0.01
O5 0.6849 0.5857 0.7762  0.00
O6 0.3151 0.4143 0.7762  0.00
V1 0.6315 0.1375 0.8964  0.02
O7 0.6252 0.1383 0.1902  0.01
V2 0.1375 0.3684 0.8964  0.02
O8 0.9087 0.8039 0.7918  0.06
V3 0.5000 0.5000 0.8654  0.00
K3 0.3102 0.1506 0.4263  0.00
O9 0.5857 0.3151 0.7762  0.00
O10 0.5000 0.0000 0.7795  0.00
O11 0.8039 0.0913 0.7918  0.06
V4 0.8625 0.6315 0.8964  0.02
K4 0.8494 0.3102 0.4263  0.00
O12 0.0913 0.1961 0.7918  0.06
O13 0.3748 0.8617 0.1902  0.01
O14 0.0000 0.5000 0.7795  0.00
O15 0.5000 0.5000 0.1509  0.00
V5 0.3684 0.8625 0.8964  0.02